(1)
Compound: Na2TlSn
Source: Alexandria via LeMat-Bulk
Functional: GGA-PBE
Structure: relaxed

It has space group R-3m (No. 166, hexagonal axes), with a = 3.4944 Å, b = 3.4944 Å, c = 32.2073 Å, α = 90.00°, β = 90.00° and γ = 120.00°. The inequivalent atoms are Na at (0.0000, 0.0000, 0.2481), Tl at (0.0000, 0.0000, 0.0000) and Sn at (0.0000, 0.0000, 0.5000).

The calculation puts the magnetic moment at 0.000 μB per formula unit. For the theoretical density, the calculation gives 5.4 Mg/m³. For the energy relative to the elements, the calculation gives -0.08 eV/atom.



(2)
Compound: Na4Tl3Sn
Source: Alexandria via LeMat-Bulk
Functional: GGA-PBE
Structure: relaxed

It has space group C2/m (No. 12), with a = 6.699 Å, b = 6.717 Å, c = 10.467 Å, α = 90.00°, β = 107.99° and γ = 90.00°. The inequivalent atoms are Na at (0.131, 0.250, 0.258), Tl at (0.000, 0.000, 0.500), Tl at (0.243, 0.000, 0.993) and Sn at (0.000, 0.500, 0.500).

The calculation puts the magnetic moment at 0.000 μB per formula unit. For the theoretical density, the calculation gives 6.1 Mg/m³. For the energy relative to the elements, the calculation gives -0.11 eV/atom.



(3)
Compound: Na2Tl6Sn
Source: Alexandria via LeMat-Bulk
Functional: GGA-PBE
Structure: relaxed

It has space group P4_2/mnm (No. 136), with a = 10.504 Å, b = 10.504 Å, c = 4.730 Å, α = 90.00°, β = 90.00° and γ = 90.00°. The inequivalent atoms are Na at (0.167, 0.167, 0.000), Tl at (0.001, 0.670, 0.500), Tl at (0.159, 0.841, 0.000) and Sn at (0.000, 0.000, 0.500).

The calculation puts the magnetic moment at 0.000 μB per formula unit. The calculation puts the offset from the most stable computed form at 0.00 eV per formula unit. For the theoretical density, the calculation gives 8.9 Mg/m³. For the energy relative to the elements, the calculation gives -0.07 eV/atom.



(4)
Compound: Na2Tl2Sn15
Source: Alexandria via LeMat-Bulk
Functional: GGA-PBE
Structure: relaxed

It has space group R-3m (No. 166, hexagonal axes), with a = 10.7013 Å, b = 10.7013 Å, c = 17.0731 Å, α = 90.00°, β = 90.00° and γ = 120.00°. The inequivalent atoms are Na at (0.0000, 0.0000, 0.1067), Tl at (0.0000, 0.0000, 0.3464), Sn at (0.0000, 0.2938, 0.0000), Sn at (0.0000, 0.5000, 0.5000) and Sn at (0.0123, 0.5061, 0.1348).

The calculation puts the magnetic moment at 0.000 μB per formula unit. For the theoretical density, the calculation gives 6.6 Mg/m³. For the energy relative to the elements, the calculation gives 0.02 eV/atom.